Record 1
Entry from Alexandria: a relaxed structure of Ba4Cd2Ir (PBE-GGA). Values from VASP.

Results
Energy: -2.756 eV per atom
Formation enthalpy at 0 K: -0.130 eV per atom
Volume: 46.64 Å³ per atom

```
&SYSTEM
  ibrav = 0, nat = 7, ntyp = 3
/
ATOMIC_SPECIES
Ba 137.33 Ba.upf
Cd 112.41 Cd.upf
Ir 192.22 Ir.upf
CELL_PARAMETERS angstrom
-3.029 3.029 8.899
3.029 -3.029 8.899
3.029 3.029 -8.899
ATOMIC_POSITIONS angstrom
Ba 3.029 0.000 0.000
Ba 0.000 0.000 3.074
Ba 0.000 3.029 0.000
Ba 0.000 0.000 14.724
Cd 0.000 0.000 6.701
Cd 0.000 0.000 11.097
Ir 0.000 0.000 0.000
```

Record 2
Entry from Alexandria: a relaxed structure of BaCdIr2 (PBE-GGA). Values from VASP.

Results
Energy: -4.611 eV per atom
Formation enthalpy at 0 K: 0.529 eV per atom
Volume: 21.17 Å³ per atom

```
&SYSTEM
  ibrav = 0, nat = 4, ntyp = 3
/
ATOMIC_SPECIES
Ba 137.33 Ba.upf
Cd 112.41 Cd.upf
Ir 192.22 Ir.upf
CELL_PARAMETERS angstrom
3.210 0.000 0.000
0.000 3.210 0.000
0.000 0.000 8.218
ATOMIC_POSITIONS angstrom
Ba 0.000 0.000 0.000
Cd 0.000 0.000 4.109
Ir 1.605 1.605 2.392
Ir 1.605 1.605 5.826
```

Record 3
Entry from Alexandria: a relaxed structure of BaCd2Ir (PBE-GGA). Values from VASP.

Results
Energy: -3.027 eV per atom
Formation enthalpy at 0 K: 0.126 eV per atom
Volume: 24.37 Å³ per atom

```
&SYSTEM
  ibrav = 0, nat = 4, ntyp = 3
/
ATOMIC_SPECIES
Ba 137.33 Ba.upf
Cd 112.41 Cd.upf
Ir 192.22 Ir.upf
CELL_PARAMETERS angstrom
3.425 0.000 0.000
0.000 3.425 0.000
0.000 0.000 8.313
ATOMIC_POSITIONS angstrom
Ba 0.000 0.000 0.000
Cd 1.712 1.712 2.641
Cd 1.712 1.712 5.673
Ir 0.000 0.000 4.157
```

Record 4
Entry from Alexandria: a relaxed structure of BaCd4Ir (PBE-GGA). Values from VASP.

Results
Energy: -2.335 eV per atom
Formation enthalpy at 0 K: 0.072 eV per atom
Energy above the most stable polymorph in this dataset: 0 meV/atom
Volume: 35.40 Å³ per atom

```
&SYSTEM
  ibrav = 0, nat = 6, ntyp = 3
/
ATOMIC_SPECIES
Ba 137.33 Ba.upf
Cd 112.41 Cd.upf
Ir 192.22 Ir.upf
CELL_PARAMETERS angstrom
3.672 -3.672 0.000
3.672 3.672 0.000
-0.007 0.000 7.875
ATOMIC_POSITIONS angstrom
Ba 0.000 0.000 0.000
Cd 1.832 1.836 3.938
Cd 1.832 -1.836 3.938
Cd 3.672 0.000 1.370
Cd 3.665 0.000 6.505
Ir 3.668 0.000 3.938
```

Record 5
Entry from Alexandria: a relaxed structure of BaCd2Ir (PBE-GGA). Values from VASP.

Results
Energy: -2.895 eV per atom
Formation enthalpy at 0 K: 0.258 eV per atom
Volume: 25.47 Å³ per atom

```
&SYSTEM
  ibrav = 0, nat = 4, ntyp = 3
/
ATOMIC_SPECIES
Ba 137.33 Ba.upf
Cd 112.41 Cd.upf
Ir 192.22 Ir.upf
CELL_PARAMETERS angstrom
4.459 0.000 0.000
0.000 4.459 0.000
0.000 0.000 5.124
ATOMIC_POSITIONS angstrom
Ba 0.000 0.000 0.000
Cd 0.000 2.229 2.562
Cd 2.229 0.000 2.562
Ir 2.229 2.229 0.000
```

Record 6
Entry from Alexandria: a relaxed structure of Ba11CdIr2 (PBE-GGA). Values from VASP.

Results
Energy: -2.846 eV per atom
Formation enthalpy at 0 K: -0.004 eV per atom
Volume: 59.35 Å³ per atom

```
&SYSTEM
  ibrav = 0, nat = 28, ntyp = 3
/
ATOMIC_SPECIES
Ba 137.33 Ba.upf
Cd 112.41 Cd.upf
Ir 192.22 Ir.upf
CELL_PARAMETERS angstrom
-7.204 7.223 7.984
7.204 -7.223 7.984
7.204 7.223 -7.984
ATOMIC_POSITIONS angstrom
Ba 0.000 0.000 0.000
Ba 10.394 -0.943 2.149
Ba 8.186 3.223 -2.167
Ba 8.186 -3.223 5.817
Ba 4.434 -4.410 7.984
Ba 4.013 0.943 2.149
Ba 4.013 -0.943 5.836
Ba 4.434 4.410 0.000
Ba 8.186 3.223 2.167
Ba 0.983 4.000 2.167
Ba 3.190 8.166 -2.149
Ba 0.000 0.000 7.984
Ba 4.013 -0.943 10.133
Ba 6.221 3.223 5.817
Ba -0.983 4.000 5.817
Ba 2.769 2.813 7.984
Ba 3.190 8.166 2.149
Ba 3.190 6.280 5.836
Ba 2.769 11.634 0.000
Ba -0.983 10.446 2.167
Ba -0.983 4.000 10.151
Ba -3.190 8.166 5.836
Cd 7.204 0.000 3.992
Cd 0.000 7.223 3.992
Ir 2.321 2.306 0.000
Ir 2.321 -2.306 7.984
Ir 4.882 9.530 0.000
Ir 4.882 4.917 7.984
```